{"formula": "P2AuO6", "functional": "GGA-PBE", "state": "relaxed", "e_form_raw_ev_per_atom": -1.5517, "lattice": [[4.8659, -6.1950, 0.0000], [4.8659, 6.1950, 0.0000], [-0.7112, 0.0000, 4.6303]], "species": ["P", "P", "P", "P", "Au", "Au", "O", "O", "O", "O", "O", "O", "O", "O", "O", "O", "O", "O"], "fractional_positions": [[0.1509, 0.2988, 0.4556], [0.2988, 0.1509, 0.9556], [0.7012, 0.8491, 0.0444], [0.8491, 0.7012, 0.5444], [0.2797, 0.7203, 0.7500], [0.7203, 0.2797, 0.2500], [0.0369, 0.7128, 0.4925], [0.1530, 0.2175, 0.1292], [0.2175, 0.1530, 0.6292], [0.2853, 0.4730, 0.5194], [0.2872, 0.9631, 0.0075], [0.4730, 0.2853, 0.0194], [0.5270, 0.7147, 0.9806], [0.7128, 0.0369, 0.9925], [0.7147, 0.5270, 0.4806], [0.7825, 0.8470, 0.3708], [0.8470, 0.7825, 0.8708], [0.9631, 0.2872, 0.5075]]}



{"formula": "Ca2Sn5Hg", "functional": "GGA-PBE", "state": "relaxed", "delta_e_f_mev_per_atom": -380, "dos_ef_per_ev_cell": 8.3, "lattice": [[6.8958, 0.0000, 0.0000], [0.0000, 13.5066, 0.0000], [0.0000, 0.0000, 4.6010]], "species": ["Ca", "Ca", "Ca", "Ca", "Sn", "Sn", "Sn", "Sn", "Sn", "Sn", "Sn", "Sn", "Sn", "Sn", "Hg", "Hg"], "fractional_positions": [[0.2458, 0.1229, 0.0000], [0.2542, 0.6229, 0.0000], [0.7458, 0.3771, 0.0000], [0.7542, 0.8771, 0.0000], [0.0000, 0.5000, 0.5000], [0.0085, 0.2534, 0.5000], [0.2478, 0.3742, 0.0000], [0.2522, 0.8742, 0.0000], [0.4915, 0.7534, 0.5000], [0.5000, 0.0000, 0.5000], [0.5085, 0.2466, 0.5000], [0.7478, 0.1258, 0.0000], [0.7522, 0.6258, 0.0000], [0.9915, 0.7466, 0.5000], [0.0000, 0.0000, 0.5000], [0.5000, 0.5000, 0.5000]]}



no.,mass density (g cm⁻³)
1,4.222
2,6.776